(1)
Material: InNi2Rh
Method: DFT, PBE
State: relaxed

Fermi-level density of states: 1.35 states/eV per atom
DFT formation energy: -2 kJ/mol of atoms
Calculated total energy: -21.7 eV per formula unit

Cell lengths 4.645, 4.645, 4.527 Å; angles 76.32, 76.32, 36.62 degrees
Site moments in Bohr magnetons follow the coordinates.
Positions (direct):
In 0.254 0.254 0.239  -0.01
Ni 0.007 0.007 0.983  0.22
Ni 0.745 0.745 0.753  0.33
Rh 0.494 0.494 0.525  0.26

---

(2)
Material: TaTl2Fe
Method: DFT, PBE
State: relaxed

Fermi-level density of states: 0.28 states/eV per atom
DFT formation energy: 91 kJ/mol of atoms
Calculated total energy: -21.3 eV per formula unit
Energy relative to the lowest polymorph listed for this composition: 2.32 eV per formula unit

Cell lengths 7.546, 7.546, 6.096 Å; angles 51.76, 51.76, 90.00 degrees
Site moments in Bohr magnetons follow the coordinates.
Positions (direct):
Tl 0.601 0.125 0.250  -0.01
Tl 0.149 0.625 0.250  -0.02
Tl 0.375 0.399 0.750  -0.01
Tl 0.875 0.851 0.750  -0.02
Fe 0.500 0.500 0.000  2.77
Fe 0.250 0.750 0.500  2.76
Ta 0.000 0.000 0.000  0.10
Ta 0.750 0.250 0.500  0.10

---

(3)
Material: Th2ScFe
Method: DFT, PBE
State: relaxed

Fermi-level density of states: 1.47 states/eV per atom
DFT formation energy: 11 kJ/mol of atoms
Calculated total energy: -29.2 eV per formula unit
Energy relative to the lowest polymorph listed for this composition: 0.65 eV per formula unit

Cell lengths 3.799, 3.799, 8.805 Å; angles 77.54, 77.54, 60.00 degrees
Positions (direct):
Th 0.061 0.061 0.816
Th 0.273 0.273 0.181
Sc 0.500 0.500 0.500
Fe 0.666 0.666 0.002

---

(4)
Material: Cs2Tl4Bi3Pb
Method: DFT, PBE
State: relaxed

Fermi-level density of states: 0.44 states/eV per atom
DFT formation energy: -16 kJ/mol of atoms
Calculated total energy: -28.2 eV per formula unit

Cell lengths 5.284, 5.284, 14.236 Å; angles 90.00, 90.00, 90.00 degrees
Positions (direct):
Cs 0.500 0.000 0.247
Cs 0.000 0.500 0.753
Tl 0.500 0.500 0.000
Tl 0.000 0.000 0.000
Tl 0.500 0.000 0.639
Tl 0.000 0.500 0.361
Bi 0.000 0.000 0.500
Bi 0.500 0.000 0.870
Bi 0.000 0.500 0.130
Pb 0.500 0.500 0.500

---

(5)
Material: PmSmPdRh
Method: DFT, PBE
State: relaxed

Fermi-level density of states: 0.75 states/eV per atom
DFT formation energy: -72 kJ/mol of atoms
Calculated total energy: -25.0 eV per formula unit
Energy relative to the lowest polymorph listed for this composition: 0.16 eV per formula unit

Cell lengths 5.015, 5.015, 5.015 Å; angles 60.00, 60.00, 60.00 degrees
Positions (direct):
Rh 0.500 0.500 0.500
Pd 0.000 0.000 0.000
Sm 0.750 0.750 0.750
Pm 0.250 0.250 0.250

---

(6)
Material: Pr5Bi2O12
Method: DFT, PBE
State: relaxed

Fermi-level density of states: 0.17 states/eV per atom
Calculated total energy: -138.9 eV per formula unit
Raw formation energy: -47.754 eV/f.u.

Cell lengths 6.396, 7.314, 7.836 Å; angles 105.66, 90.00, 115.93 degrees
Positions (direct):
Pr 0.298 0.596 0.635
Pr 0.304 0.608 0.172
Pr 0.000 0.000 0.500
Pr 0.696 0.392 0.828
Pr 0.702 0.404 0.365
Bi 0.755 0.000 0.000
Bi 0.245 0.000 0.000
O 0.000 0.001 0.193
O 0.101 0.659 0.912
O 0.558 0.659 0.912
O 0.094 0.691 0.426
O 0.597 0.691 0.426
O 0.501 0.003 0.807
O 0.499 0.997 0.193
O 0.906 0.309 0.574
O 0.403 0.309 0.574
O 0.899 0.341 0.088
O 0.442 0.341 0.088
O 0.000 0.999 0.807

---

(7)
Material: CdCo2Ni
Method: DFT, PBE
State: relaxed

Fermi-level density of states: 1.46 states/eV per atom
DFT formation energy: 28 kJ/mol of atoms
Calculated total energy: -19.8 eV per formula unit
Energy relative to the lowest polymorph listed for this composition: 0.53 eV per formula unit

Cell lengths 5.124, 5.124, 5.124 Å; angles 148.69, 129.95, 60.23 degrees
Site moments in Bohr magnetons follow the coordinates.
Positions (direct):
Cd 0.250 0.750 0.500  -0.03
Co 0.980 0.980 0.000  1.70
Co 0.520 0.520 0.000  1.70
Ni 0.750 0.250 0.500  0.39

---

(8)
Material: Ga2PdPt
Method: DFT, PBE
State: relaxed

Fermi-level density of states: 0.42 states/eV per atom
DFT formation energy: -36 kJ/mol of atoms
Calculated total energy: -18.8 eV per formula unit
Energy relative to the lowest polymorph listed for this composition: 0.76 eV per formula unit

Cell lengths 5.113, 3.662, 3.662 Å; angles 90.00, 90.00, 90.00 degrees
Positions (direct):
Ga 0.500 0.500 0.500
Ga 0.000 0.000 0.000
Pd 0.500 0.000 0.000
Pt 0.000 0.500 0.500

---

| no. | calculated density (g/cm³) |
| --- | --- |
| 1 | 9.86 |
| 2 | 12.77 |
| 3 | 8.80 |
| 4 | 8.01 |
| 5 | 9.39 |
| 6 | 6.94 |
| 7 | 9.03 |
| 8 | 10.68 |